Material: Ac5Au2
Method: DFT, PBE
State: relaxed

Structure (POSCAR):
```
Ac5Au2
1.0
-5.669 -1.008 -4.452
-2.518 -5.864 4.533
-1.846 7.371 6.631
Ac Au
10 4
direct
0.637 0.801 0.436 Ac
0.808 0.572 0.809 Ac
0.424 0.750 0.000 Ac
0.576 0.250 0.000 Ac
0.001 0.072 0.809 Ac
0.363 0.199 0.564 Ac
0.201 0.699 0.564 Ac
0.192 0.428 0.191 Ac
0.999 0.928 0.191 Ac
0.799 0.301 0.436 Ac
0.577 0.922 0.780 Au
0.203 0.422 0.780 Au
0.423 0.078 0.220 Au
0.797 0.578 0.220 Au
```

## Properties
SG: C2/c (15)
Calculated volume (Å³/atom): 38.013
Density of states at the Fermi level (states/eV per cell): 17.777
Energy relative to the elements (eV per atom): -0.4556